# CaTc2NiO8, optimized geometry, DFT GGA+U
# **N(E_F)**: 0.752 states/eV per atom
# **Uncorrected energy**: -83.47 eV per cell
# **Space-group type**: No. 164
data_CaTc2NiO8
_symmetry_space_group_name_H-M 'P 1'
_symmetry_Int_Tables_number 1
_symmetry_space_group_name_Hall 'P 1'
_cell_length_a 5.7468
_cell_length_b 5.7468
_cell_length_c 6.3785
_cell_angle_alpha 90.00
_cell_angle_beta 90.00
_cell_angle_gamma 120.00
loop_
_atom_site_label
_atom_site_type_symbol
_atom_site_fract_x
_atom_site_fract_y
_atom_site_fract_z
Ca1 Ca 0.0000 0.0000 0.0000
Tc1 Tc 0.3333 0.6667 0.2193
Tc2 Tc 0.6667 0.3333 0.7807
Ni1 Ni 0.0000 0.0000 0.5000
O1 O 0.1583 0.3167 0.2921
O2 O 0.1583 0.8417 0.2921
O3 O 0.3167 0.1583 0.7079
O4 O 0.3333 0.6667 0.9443
O5 O 0.6667 0.3333 0.0557
O6 O 0.6833 0.8417 0.2921
O7 O 0.8417 0.1583 0.7079
O8 O 0.8417 0.6833 0.7079